[1]
Entry from Alexandria via LeMat-Bulk: MnZn5Au3 after structural relaxation (PBE).

Cell lengths 7.8131, 7.8131, 5.4077 Å; angles 90.00, 90.00, 120.00 degrees
Last column: nearest neighbours and their distance in Å.
Space group P6_3/mcm (No. 193)
Asymmetric unit:
Mn 0.0000 0.0000 0.0000 [2 per cell]  2 Mn 2.70, 6 Zn 2.76
Zn 0.0000 0.3080 0.2500 [6 per cell]  5 Au 2.61-2.73, 2 Mn 2.76
Zn 0.3333 0.6667 0.0000 [4 per cell]  8 Zn 2.70-3.03, 6 Au 2.86
Au 0.0000 0.3553 0.7500 [6 per cell]  9 Zn 2.61-2.86

E_tot	-53.1	eV/cell
V	15.9	Å³/atom
Fermi-level density of states	4.39	states/eV/cell

***

[2]
Entry from Alexandria via LeMat-Bulk: ErMg3Ag3 after structural relaxation (PBE).

Cell lengths 7.2209, 7.2209, 7.2209 Å; angles 90.00, 90.00, 90.00 degrees
Last column: nearest neighbours and their distance in Å.
Space group Pm-3n (No. 223)
Asymmetric unit:
Er 0.0000 0.0000 0.0000 [2 per cell]  12 Mg 4.04, 12 Ag 4.04
Mg 0.0000 0.2500 0.5000 [6 per cell]  4 Ag 2.55
Ag 0.0000 0.5000 0.2500 [6 per cell]  4 Mg 2.55

E_tot	-30.6	eV/cell
V	26.9	Å³/atom
Fermi-level density of states	10.66	states/eV/cell

***

[3]
Entry from Alexandria via LeMat-Bulk: LiRe2Mo after structural relaxation (PBE).

Cell lengths 3.8666, 3.8666, 7.7571 Å; angles 90.00, 90.00, 90.00 degrees
Last column: nearest neighbours and their distance in Å.
Space group I4/mmm (No. 139)
Asymmetric unit:
Li 0.0000 0.0000 0.0000 [2 per cell]  4 Mo 2.73, 8 Re 2.74
Re 0.0000 0.5000 0.2500 [4 per cell]  4 Re 2.73, 4 Li 2.74, 4 Mo 2.74
Mo 0.0000 0.0000 0.5000 [2 per cell]  4 Li 2.73, 8 Re 2.74

E_tot	-72.3	eV/cell
V	14.5	Å³/atom
Fermi-level density of states	6.63	states/eV/cell

***

[4]
Entry from Alexandria via LeMat-Bulk: AcPm6DyTm2 after structural relaxation (PBE).

Cell lengths 9.3942, 15.3334, 9.6762 Å; angles 90.00, 95.50, 90.00 degrees
Last column: nearest neighbours and their distance in Å.
Space group C2/c (No. 15)
Asymmetric unit:
Ac 0.0000 0.0309 0.2500 [4 per cell]  4 Tm 3.51-3.62, 6 Pm 3.69-3.84
Pm 0.0623 0.1826 0.9455 [8 per cell]  7 Pm 3.48-3.85, 1 Tm 3.62, 2 Ac 3.80-3.84
Pm 0.0977 0.3886 0.1176 [8 per cell]  4 Pm 3.28-3.57, 3 Tm 3.30-3.49, 2 Dy 3.47-3.61
Pm 0.2209 0.2278 0.3184 [8 per cell]  3 Pm 3.28-3.60, 2 Tm 3.48-3.59, 1 Dy 3.50
Dy 0.0000 0.4122 0.7500 [4 per cell]  6 Pm 3.47-3.61, 4 Tm 3.57-3.87
Tm 0.2403 0.4464 0.4512 [8 per cell]  6 Pm 3.30-3.62, 2 Ac 3.51-3.62, 1 Dy 3.57

E_tot	-179.8	eV/cell
V	34.7	Å³/atom
Fermi-level density of states	57.08	states/eV/cell

***

[5]
Entry from Alexandria via LeMat-Bulk: AcTm4S6 after structural relaxation (PBE).

Cell lengths 3.9131, 12.7201, 19.7924 Å; angles 90.00, 90.00, 90.00 degrees
Last column: nearest neighbours and their distance in Å.
Space group Cmcm (No. 63)
Asymmetric unit:
Ac 0.0000 0.1571 0.2500 [4 per cell]  6 S 2.94-3.03
Tm 0.0000 0.0951 0.6230 [8 per cell]  6 S 2.69-2.72
Tm 0.0000 0.3608 0.5386 [8 per cell]  6 S 2.71-2.79
S 0.0000 0.0000 0.0000 [4 per cell]  6 Tm 2.72-2.75
S 0.0000 0.1700 0.7500 [4 per cell]  2 Tm 2.69, 2 Ac 2.94
S 0.0000 0.2658 0.0886 [8 per cell]  5 Tm 2.72-2.79
S 0.0000 0.4586 0.6601 [8 per cell]  3 Tm 2.71-2.72, 2 Ac 3.03

V	22.4	Å³/atom
Fermi-level density of states	12.19	states/eV/cell
ΔE_f (raw)	-2.04	eV per atom

***

[6]
Entry from Alexandria via LeMat-Bulk: Ce2NdSnC after structural relaxation (PBE).

Cell lengths 4.9440, 4.9440, 5.1663 Å; angles 90.00, 90.00, 90.00 degrees
Last column: nearest neighbours and their distance in Å.
Space group P4/mmm (No. 123)
Asymmetric unit:
Ce 0.0000 0.5000 0.0000 [2 per cell]  2 C 2.47
Nd 0.0000 0.0000 0.5000 [1 per cell]  2 C 2.58
Sn 0.5000 0.5000 0.5000 [1 per cell]  4 Nd 3.50, 8 Ce 3.58
C 0.0000 0.0000 0.0000 [1 per cell]  4 Ce 2.47, 2 Nd 2.58

E_tot	-32.2	eV/cell
V	25.3	Å³/atom
Fermi-level density of states	9.41	states/eV/cell

***

[7]
Entry from Alexandria via LeMat-Bulk: GeP2PdO after structural relaxation (PBE).

Cell lengths 4.8250, 4.8250, 3.4907 Å; angles 90.00, 90.00, 90.00 degrees
Last column: nearest neighbours and their distance in Å.
Space group P4/mmm (No. 123)
Asymmetric unit:
Ge 0.0000 0.0000 0.0000 [1 per cell]  2 O 1.75
P 0.0000 0.5000 0.0000 [2 per cell]  2 Ge 2.41
Pd 0.5000 0.5000 0.5000 [1 per cell]  8 P 2.98
O 0.0000 0.0000 0.5000 [1 per cell]  2 Ge 1.75

V	16.3	Å³/atom
Fermi-level density of states	4.21	states/eV/cell
ΔE_f (raw)	0.33	eV per atom

***

[8]
Entry from Alexandria via LeMat-Bulk: UNiIr2 after structural relaxation (PBE).

Cell lengths 4.5472, 4.5472, 11.1068 Å; angles 90.00, 90.00, 120.00 degrees
Last column: nearest neighbours and their distance in Å.
Space group R-3m (No. 166, hexagonal axes)
Asymmetric unit:
U 0.0000 0.0000 0.0000 [3 per cell]  8 Ir 2.76-2.86
Ni 0.0000 0.0000 0.5000 [3 per cell]  8 Ir 2.69-2.81
Ir 0.0000 0.0000 0.2578 [6 per cell]  4 Ni 2.69-2.81, 4 U 2.76-2.86

E_tot	-106.4	eV/cell
V	16.6	Å³/atom
Fermi-level density of states	20.37	states/eV/cell

***

Question: Which value of V does entry 5 give?
Answer: 22.4 Å³/atom

***

Question: Which value of V does entry 1 give?
Answer: 15.9 Å³/atom

***

Question: What is the V in the eighth record?
Answer: 16.6 Å³/atom